# 1
# ZnBrCl3, relaxed, DFT PBEsol
# - density of states at the Fermi level (states/eV/f.u.) = 3.29
# - uncorrected formation energy (eV per atom) = -0.243
data_ZnBrCl3
_symmetry_space_group_name_H-M 'P m -3 m'
_symmetry_Int_Tables_number 221
_symmetry_space_group_name_Hall '-P 4 2 3'
_cell_length_a 4.7964
_cell_length_b 4.7964
_cell_length_c 4.7964
_cell_angle_alpha 90.00
_cell_angle_beta 90.00
_cell_angle_gamma 90.00
loop_
_atom_site_label
_atom_site_type_symbol
_atom_site_fract_x
_atom_site_fract_y
_atom_site_fract_z
Zn1 Zn 0.0000 0.0000 0.0000
Br1 Br 0.5000 0.5000 0.5000
Cl1 Cl 0.0000 0.0000 0.5000


# 2
# CoBr2, relaxed, DFT PBEsol
# - density of states at the Fermi level (states/eV/f.u.) = 2.64
# - uncorrected formation energy (eV per atom) = -0.184
data_CoBr2
_symmetry_space_group_name_H-M 'C 1 2/m 1'
_symmetry_Int_Tables_number 12
_symmetry_space_group_name_Hall '-C 2y'
_cell_length_a 13.0642
_cell_length_b 3.4768
_cell_length_c 9.0376
_cell_angle_alpha 90.00
_cell_angle_beta 130.97
_cell_angle_gamma 90.00
loop_
_atom_site_label
_atom_site_type_symbol
_atom_site_fract_x
_atom_site_fract_y
_atom_site_fract_z
Co1 Co 0.2323 0.0000 0.1172
Br1 Br 0.0768 0.5000 0.8621
Br2 Br 0.2063 0.0000 0.6506


# 3
# Co2Br, relaxed, DFT PBEsol
# - density of states at the Fermi level (states/eV/f.u.) = 3.07
# - relative energy among the computed polymorphs (eV/atom) = 0.642
# - uncorrected formation energy (eV per atom) = 0.651
data_Co2Br
_symmetry_space_group_name_H-M 'I 4/m c m'
_symmetry_Int_Tables_number 140
_symmetry_space_group_name_Hall '-I 4 2c'
_cell_length_a 4.6901
_cell_length_b 4.6901
_cell_length_c 7.8956
_cell_angle_alpha 90.00
_cell_angle_beta 90.00
_cell_angle_gamma 90.00
loop_
_atom_site_label
_atom_site_type_symbol
_atom_site_fract_x
_atom_site_fract_y
_atom_site_fract_z
Co1 Co 0.1818 0.3182 0.0000
Br1 Br 0.0000 0.0000 0.2500


# 4
# CoBr5, relaxed, DFT PBEsol
# - density of states at the Fermi level (states/eV/f.u.) = 6.81
# - uncorrected formation energy (eV per atom) = 0.066
data_CoBr5
_symmetry_space_group_name_H-M 'C m m m'
_symmetry_Int_Tables_number 65
_symmetry_space_group_name_Hall '-C 2 2'
_cell_length_a 3.4594
_cell_length_b 13.3443
_cell_length_c 7.4092
_cell_angle_alpha 90.00
_cell_angle_beta 90.00
_cell_angle_gamma 90.00
loop_
_atom_site_label
_atom_site_type_symbol
_atom_site_fract_x
_atom_site_fract_y
_atom_site_fract_z
Co1 Co 0.0000 0.0000 0.0000
Br1 Br 0.0000 0.1668 0.5000
Br2 Br 0.0000 0.3846 0.0000
Br3 Br 0.0000 0.5000 0.5000


# 5
# CoBr2, relaxed, DFT PBEsol
# - density of states at the Fermi level (states/eV/f.u.) = 2.37
# - uncorrected formation energy (eV per atom) = -0.123
data_CoBr2
_symmetry_space_group_name_H-M 'C 1 m 1'
_symmetry_Int_Tables_number 8
_symmetry_space_group_name_Hall 'C -2y'
_cell_length_a 12.7985
_cell_length_b 3.4303
_cell_length_c 7.2724
_cell_angle_alpha 90.00
_cell_angle_beta 90.87
_cell_angle_gamma 90.00
loop_
_atom_site_label
_atom_site_type_symbol
_atom_site_fract_x
_atom_site_fract_y
_atom_site_fract_z
Co1 Co 0.0000 0.0000 0.0000
Co2 Co 0.1031 0.5000 0.3288
Br1 Br 0.1721 0.0000 0.5400
Br2 Br 0.1764 0.0000 0.0858
Br3 Br 0.4367 0.0000 0.8111
Br4 Br 0.4460 0.5000 0.3061


# 6
# CoBr2, relaxed, DFT PBEsol
# - density of states at the Fermi level (states/eV/f.u.) = 5.81
# - uncorrected formation energy (eV per atom) = 0.365
data_CoBr2
_symmetry_space_group_name_H-M 'P 63/m m c'
_symmetry_Int_Tables_number 194
_symmetry_space_group_name_Hall '-P 6c 2c'
_cell_length_a 4.0966
_cell_length_b 4.0966
_cell_length_c 9.4288
_cell_angle_alpha 90.00
_cell_angle_beta 90.00
_cell_angle_gamma 120.00
loop_
_atom_site_label
_atom_site_type_symbol
_atom_site_fract_x
_atom_site_fract_y
_atom_site_fract_z
Co1 Co 0.3333 0.6667 0.2500
Br1 Br 0.0000 0.0000 0.0000
Br2 Br 0.3333 0.6667 0.7500


# 7
# Co4Br5, relaxed, DFT PBEsol
# - density of states at the Fermi level (states/eV/f.u.) = 10.37
# - uncorrected formation energy (eV per atom) = 0.768
data_Co4Br5
_symmetry_space_group_name_H-M 'I 4/m m m'
_symmetry_Int_Tables_number 139
_symmetry_space_group_name_Hall '-I 4 2'
_cell_length_a 10.4045
_cell_length_b 10.4045
_cell_length_c 3.2386
_cell_angle_alpha 90.00
_cell_angle_beta 90.00
_cell_angle_gamma 90.00
loop_
_atom_site_label
_atom_site_type_symbol
_atom_site_fract_x
_atom_site_fract_y
_atom_site_fract_z
Co1 Co 0.0000 0.3828 0.0000
Br1 Br 0.0000 0.0000 0.0000
Br2 Br 0.1668 0.1668 0.5000


# 8
# Co2Br, relaxed, DFT PBEsol
# - density of states at the Fermi level (states/eV/f.u.) = 2.01
# - relative energy among the computed polymorphs (eV/atom) = 0.208
# - uncorrected formation energy (eV per atom) = 0.217
data_Co2Br
_symmetry_space_group_name_H-M 'C 1 2/m 1'
_symmetry_Int_Tables_number 12
_symmetry_space_group_name_Hall '-C 2y'
_cell_length_a 7.5103
_cell_length_b 3.3123
_cell_length_c 8.5174
_cell_angle_alpha 90.00
_cell_angle_beta 103.54
_cell_angle_gamma 90.00
loop_
_atom_site_label
_atom_site_type_symbol
_atom_site_fract_x
_atom_site_fract_y
_atom_site_fract_z
Co1 Co 0.0245 0.0000 0.3615
Co2 Co 0.1620 0.5000 0.5620
Br1 Br 0.1909 0.5000 0.1891